{
  "formula": "Tm2Be4GaIr3",
  "functional": "PBE",
  "state": "optimized geometry",
  "cell": [[-3.7400, 0.2976, 0.7332], [0.7079, -0.3242, 3.7427], [0.9298, 9.9868, 0.6891]],
  "species": ["Tm", "Tm", "Be", "Be", "Be", "Be", "Ga", "Ir", "Ir", "Ir"],
  "fractional_positions": [[0.0000, 0.5000, 0.7582], [0.5000, 0.0000, 0.2418], [0.5000, 0.5000, 0.0000], [0.0000, 0.0000, 0.0000], [0.5000, 0.0000, 0.6397], [0.0000, 0.5000, 0.3603], [0.5000, 0.5000, 0.5000], [0.0000, 0.0000, 0.5000], [0.0000, 0.5000, 0.1289], [0.5000, 0.0000, 0.8711]],
  "total_magnetization_mub_per_atom": 0.00,
  "rho_g_cm3": 11.5,
  "formation_enthalpy_0k_ev_per_atom": -0.597,
  "spacegroup": "P-4m2"
}